VASP calculation (PBE) on GeBi2Sb2 after structural relaxation.

Cell lengths 8.4334, 8.4334, 4.2209 Å; angles 90.00, 90.00, 90.00 degrees
Space group P4/mbm (No. 127)
Inequivalent atoms, fractional coordinates:
1 Ge 0.0000 0.0000 0.0000 x2
2 Bi 0.1565 0.3435 0.0000 x4
3 Sb 0.1551 0.6551 0.5000 x4

Output
The calculation puts the density of states at the Fermi level at 7.56 states/eV per cell. The value obtained for the total DFT energy (no corrections) is -38.0 eV/cell. The energy above the most stable polymorph in this dataset comes out at 43.5 meV/atom. For the energy relative to the elements, uncorrected, the calculation gives 0.322 eV per atom.